1.
DFT (GGA-PBE) results for a relaxed NdHfH2 crystal.

- DFT total energy: -5.569 eV per atom
- Density: 9.59 g/cm3
- Magnetic moment: 0.000 μB per atom

Cell: 6.245 6.245 6.245 Å, 30.69 30.69 30.69°
Atoms (fractional coordinates):
Nd 0.000 0.000 0.000
Hf 0.500 0.500 0.500
H 0.220 0.220 0.220
H 0.780 0.780 0.780

2.
DFT (GGA-PBE) results for a relaxed Ba2MgAg2 crystal.

- Density: 5.05 g/cm3
- Polymorph energy (0 for the lowest one): 0 meV per atom
- Magnetic moment: 0.000 μB per atom

Cell: 6.964 6.964 12.199 Å, 117.25 117.25 40.97°
Atoms (fractional coordinates):
Ba 0.002 0.002 0.172
Ba 0.187 0.187 0.614
Ba 0.813 0.813 0.386
Ba 0.998 0.998 0.828
Mg 0.273 0.273 0.121
Mg 0.727 0.727 0.879
Ag 0.365 0.365 0.941
Ag 0.496 0.496 0.619
Ag 0.504 0.504 0.381
Ag 0.635 0.635 0.059

3.
DFT (GGA-PBE) results for a relaxed Li2LaW crystal.

- Density: 7.17 g/cm3
- Polymorph energy (0 for the lowest one): 281 meV per atom
- Magnetic moment: 0.000 μB per atom

Cell: 5.314 5.314 5.314 Å, 133.37 133.37 68.07°
Atoms (fractional coordinates):
Li 0.000 0.000 0.000
Li 0.750 0.250 0.500
La 0.500 0.500 0.000
W 0.250 0.750 0.500

4.
DFT (GGA-PBE) results for a relaxed Pm2PaSi4Pt3 crystal.

- DFT total energy: -6.750 eV per atom
- Density: 10.19 g/cm3
- Magnetic moment: 0.000 μB per atom

Cell: 4.277 4.277 10.857 Å, 90.00 90.00 90.00°
Atoms (fractional coordinates):
Pm 0.000 0.500 0.226
Pm 0.500 0.000 0.774
Pa 0.000 0.000 0.500
Si 0.000 0.000 0.000
Si 0.000 0.500 0.670
Si 0.500 0.000 0.330
Si 0.500 0.500 0.000
Pt 0.000 0.500 0.893
Pt 0.500 0.000 0.107
Pt 0.500 0.500 0.500

5.
DFT (GGA-PBE) results for a relaxed LaTl2Au crystal.

- Density: 11.82 g/cm3
- Polymorph energy (0 for the lowest one): 179 meV per atom
- Magnetic moment: 0.000 μB per atom

Cell: 5.290 5.290 5.290 Å, 60.00 60.00 60.00°
Atoms (fractional coordinates):
La 0.000 0.000 0.000
Tl 0.250 0.250 0.250
Tl 0.750 0.750 0.750
Au 0.500 0.500 0.500